Compound: Ti2AlIr2
Source: the Alexandria database
Functional: PBE-GGA
Structure: optimized geometry

Summary:
DOS(E_F): 8.4 states/eV/cell
ΔH_f (0 K): -709 meV/atom
M_tot: 0.0000 μB per atom

abc: 7.343 7.343 2.968
angles: 90.00 90.00 90.00
Sites, in units of the cell vectors:
Ir1 0.365 0.865 0.000
Ir2 0.865 0.635 0.000
Ir3 0.635 0.135 0.000
Ir4 0.135 0.365 0.000
Al1 0.000 0.000 0.000
Al2 0.500 0.500 0.000
Ti1 0.163 0.663 0.500
Ti2 0.663 0.837 0.500
Ti3 0.837 0.337 0.500
Ti4 0.337 0.163 0.500